Record 1
## SrGeH (PBE-GGA)

Data for a geometry-optimized SrGeH structure.

abc: 5.3381 5.3381 6.7152
angles: 101.24 101.24 51.04
Sites, in units of the cell vectors:
Sr (0.1128, 0.1128, 0.3044)
Sr (0.8872, 0.8872, 0.6956)
Ge (0.2143, 0.2143, 0.8748)
Ge (0.7857, 0.7857, 0.1252)
H (0.3811, 0.3811, 0.8534)
H (0.6189, 0.6189, 0.1466)

Summary:
V = 24.2 Å³ per atom
raw total energy = -3.353 eV per atom
offset from the most stable computed form = 0.369 eV/atom

Record 2
## RbTbAgTe3 (PBE-GGA)

Data for a geometry-optimized RbTbAgTe3 structure.

abc: 8.9024 8.9024 11.3729
angles: 90.00 90.00 151.78
Sites, in units of the cell vectors:
Rb (0.2453, 0.7547, 0.7500)
Rb (0.7547, 0.2453, 0.2500)
Tb (0.0000, 0.0000, 0.0000)
Tb (0.0000, 0.0000, 0.5000)
Ag (0.4699, 0.5301, 0.2500)
Ag (0.5301, 0.4699, 0.7500)
Te (0.0755, 0.9245, 0.2500)
Te (0.3759, 0.6241, 0.0510)
Te (0.3759, 0.6241, 0.4490)
Te (0.6241, 0.3759, 0.5510)
Te (0.6241, 0.3759, 0.9490)
Te (0.9245, 0.0755, 0.7500)

Summary:
V = 35.5 Å³ per atom
raw total energy = -3.893 eV per atom